*one*
Compound: RbP2PbS
Source: Alexandria
Functional: GGA-PBE
Structure: optimized geometry

```
data_RbP2PbS
_chemical_formula_sum 'Rb1 P2 Pb1 S1'
_symmetry_space_group_name_H-M 'P 1'
_symmetry_Int_Tables_number 1
_cell_length_a 5.3858
_cell_length_b 5.3858
_cell_length_c 5.5583
_cell_angle_alpha 90.00
_cell_angle_beta 90.00
_cell_angle_gamma 90.00
loop_
_symmetry_equiv_pos_as_xyz
'x,y,z'
loop_
_atom_site_label
_atom_site_type_symbol
_atom_site_fract_x
_atom_site_fract_y
_atom_site_fract_z
_atom_site_occupancy
Rb1 Rb 0.0000 0.0000 0.0000 1
P1 P 0.0000 0.5000 0.0000 1
P2 P 0.5000 0.0000 0.0000 1
Pb1 Pb 0.5000 0.5000 0.5000 1
S1 S 0.0000 0.0000 0.5000 1
```

Calculated values
Crystal system: tetragonal
DOS(E_F), states/eV/atom: 1.303

=====

*two*
Compound: RbP2PbS
Source: Alexandria
Functional: GGA-PBE
Structure: optimized geometry

```
data_RbP2PbS
_chemical_formula_sum 'Rb1 P2 Pb1 S1'
_symmetry_space_group_name_H-M 'P 1'
_symmetry_Int_Tables_number 1
_cell_length_a 5.4831
_cell_length_b 5.4831
_cell_length_c 5.5449
_cell_angle_alpha 90.00
_cell_angle_beta 90.00
_cell_angle_gamma 90.00
loop_
_symmetry_equiv_pos_as_xyz
'x,y,z'
loop_
_atom_site_label
_atom_site_type_symbol
_atom_site_fract_x
_atom_site_fract_y
_atom_site_fract_z
_atom_site_occupancy
Rb1 Rb 0.0000 0.0000 0.0000 1
P1 P 0.0000 0.5000 0.5000 1
P2 P 0.5000 0.0000 0.5000 1
Pb1 Pb 0.5000 0.5000 0.5000 1
S1 S 0.5000 0.5000 0.0000 1
```

Calculated values
Crystal system: tetragonal
DOS(E_F), states/eV/atom: 0.607

=====

Which one is most stable, and which one is least stable? *two* is the most stable of them, while *one* is the least stable.

=====

*one*
Compound: RbPPbS2
Source: Alexandria
Functional: GGA-PBE
Structure: optimized geometry

```
data_RbPPbS2
_chemical_formula_sum 'Rb1 P1 Pb1 S2'
_symmetry_space_group_name_H-M 'P 1'
_symmetry_Int_Tables_number 1
_cell_length_a 5.7366
_cell_length_b 5.7366
_cell_length_c 5.5895
_cell_angle_alpha 90.00
_cell_angle_beta 90.00
_cell_angle_gamma 90.00
loop_
_symmetry_equiv_pos_as_xyz
'x,y,z'
loop_
_atom_site_label
_atom_site_type_symbol
_atom_site_fract_x
_atom_site_fract_y
_atom_site_fract_z
_atom_site_occupancy
Rb1 Rb 0.0000 0.0000 0.0000 1
P1 P 0.0000 0.0000 0.5000 1
Pb1 Pb 0.5000 0.5000 0.5000 1
S1 S 0.0000 0.5000 0.0000 1
S2 S 0.5000 0.0000 0.0000 1
```

Calculated values
Crystal system: tetragonal
DOS(E_F), states/eV/atom: 0.747

=====

*two*
Compound: RbPPbS2
Source: Alexandria
Functional: GGA-PBE
Structure: optimized geometry

```
data_RbPPbS2
_chemical_formula_sum 'Rb1 P1 Pb1 S2'
_symmetry_space_group_name_H-M 'P 1'
_symmetry_Int_Tables_number 1
_cell_length_a 5.4320
_cell_length_b 5.4320
_cell_length_c 5.3848
_cell_angle_alpha 90.00
_cell_angle_beta 90.00
_cell_angle_gamma 90.00
loop_
_symmetry_equiv_pos_as_xyz
'x,y,z'
loop_
_atom_site_label
_atom_site_type_symbol
_atom_site_fract_x
_atom_site_fract_y
_atom_site_fract_z
_atom_site_occupancy
Rb1 Rb 0.0000 0.0000 0.0000 1
P1 P 0.5000 0.5000 0.0000 1
Pb1 Pb 0.5000 0.5000 0.5000 1
S1 S 0.0000 0.5000 0.5000 1
S2 S 0.5000 0.0000 0.5000 1
```

Calculated values
Crystal system: tetragonal
DOS(E_F), states/eV/atom: 0.943

=====

Which one is most stable, and which one is least stable? *two* is the most stable of them, while *one* is the least stable.

=====

*one*
Compound: Re2PPb
Source: Alexandria
Functional: GGA-PBE
Structure: optimized geometry

```
data_Re2PPb
_chemical_formula_sum 'Re2 P1 Pb1'
_symmetry_space_group_name_H-M 'P 1'
_symmetry_Int_Tables_number 1
_cell_length_a 3.0738
_cell_length_b 3.0738
_cell_length_c 7.3001
_cell_angle_alpha 90.00
_cell_angle_beta 90.00
_cell_angle_gamma 90.00
loop_
_symmetry_equiv_pos_as_xyz
'x,y,z'
loop_
_atom_site_label
_atom_site_type_symbol
_atom_site_fract_x
_atom_site_fract_y
_atom_site_fract_z
_atom_site_occupancy
Re1 Re 0.0000 0.0000 0.1733 1
Re2 Re 0.0000 0.0000 0.8267 1
P1 P 0.5000 0.5000 0.0000 1
Pb1 Pb 0.5000 0.5000 0.5000 1
```

Calculated values
Crystal system: tetragonal
DOS(E_F), states/eV/atom: 0.654

=====

*two*
Compound: Re2PPb
Source: Alexandria
Functional: GGA-PBE
Structure: optimized geometry

```
data_Re2PPb
_chemical_formula_sum 'Re2 P1 Pb1'
_symmetry_space_group_name_H-M 'P 1'
_symmetry_Int_Tables_number 1
_cell_length_a 7.4013
_cell_length_b 7.4013
_cell_length_c 7.4013
_cell_angle_alpha 156.31
_cell_angle_beta 154.30
_cell_angle_gamma 35.23
loop_
_symmetry_equiv_pos_as_xyz
'x,y,z'
loop_
_atom_site_label
_atom_site_type_symbol
_atom_site_fract_x
_atom_site_fract_y
_atom_site_fract_z
_atom_site_occupancy
Re1 Re 0.0000 0.0000 0.0000 1
Re2 Re 0.8218 0.3218 0.5000 1
P1 P 0.4383 0.4383 0.0000 1
Pb1 Pb 0.1827 0.6827 0.5000 1
```

Calculated values
Crystal system: orthorhombic
DOS(E_F), states/eV/atom: 0.599

=====

*three*
Compound: Re2PPb
Source: Alexandria
Functional: GGA-PBE
Structure: optimized geometry

```
data_Re2PPb
_chemical_formula_sum 'Re2 P1 Pb1'
_symmetry_space_group_name_H-M 'P 1'
_symmetry_Int_Tables_number 1
_cell_length_a 3.1086
_cell_length_b 4.3119
_cell_length_c 5.1547
_cell_angle_alpha 90.00
_cell_angle_beta 90.00
_cell_angle_gamma 90.00
loop_
_symmetry_equiv_pos_as_xyz
'x,y,z'
loop_
_atom_site_label
_atom_site_type_symbol
_atom_site_fract_x
_atom_site_fract_y
_atom_site_fract_z
_atom_site_occupancy
Re1 Re 0.0000 0.0000 0.0000 1
Re2 Re 0.5000 0.0000 0.5000 1
P1 P 0.0000 0.5000 0.5000 1
Pb1 Pb 0.5000 0.5000 0.0000 1
```

Calculated values
Crystal system: orthorhombic
DOS(E_F), states/eV/atom: 1.154

=====

Which one is most stable, and which one is least stable? *two* is the most stable of them, while *three* is the least stable.

=====

*one*
Compound: Re2PPb
Source: Alexandria
Functional: GGA-PBE
Structure: optimized geometry

```
data_Re2PPb
_chemical_formula_sum 'Re2 P1 Pb1'
_symmetry_space_group_name_H-M 'P 1'
_symmetry_Int_Tables_number 1
_cell_length_a 4.4975
_cell_length_b 4.4975
_cell_length_c 5.9440
_cell_angle_alpha 100.86
_cell_angle_beta 100.86
_cell_angle_gamma 39.95
loop_
_symmetry_equiv_pos_as_xyz
'x,y,z'
loop_
_atom_site_label
_atom_site_type_symbol
_atom_site_fract_x
_atom_site_fract_y
_atom_site_fract_z
_atom_site_occupancy
Re1 Re 0.0000 0.0000 0.0000 1
Re2 Re 0.7205 0.7205 0.2672 1
P1 P 0.2830 0.2830 0.9955 1
Pb1 Pb 0.4941 0.4941 0.5633 1
```

Calculated values
Crystal system: monoclinic
DOS(E_F), states/eV/atom: 0.830

=====

*two*
Compound: Re2PPb
Source: Alexandria
Functional: GGA-PBE
Structure: optimized geometry

```
data_Re2PPb
_chemical_formula_sum 'Re2 P1 Pb1'
_symmetry_space_group_name_H-M 'P 1'
_symmetry_Int_Tables_number 1
_cell_length_a 3.0694
_cell_length_b 4.4135
_cell_length_c 5.4221
_cell_angle_alpha 90.00
_cell_angle_beta 90.00
_cell_angle_gamma 90.00
loop_
_symmetry_equiv_pos_as_xyz
'x,y,z'
loop_
_atom_site_label
_atom_site_type_symbol
_atom_site_fract_x
_atom_site_fract_y
_atom_site_fract_z
_atom_site_occupancy
Re1 Re 0.0000 0.0000 0.0000 1
Re2 Re 0.5000 0.5000 0.1607 1
P1 P 0.0000 0.5000 0.8276 1
Pb1 Pb 0.5000 0.0000 0.4987 1
```

Calculated values
Crystal system: orthorhombic
DOS(E_F), states/eV/atom: 0.923

=====

*three*
Compound: Re2PPb
Source: Alexandria
Functional: GGA-PBE
Structure: optimized geometry

```
data_Re2PPb
_chemical_formula_sum 'Re2 P1 Pb1'
_symmetry_space_group_name_H-M 'P 1'
_symmetry_Int_Tables_number 1
_cell_length_a 4.4943
_cell_length_b 4.4943
_cell_length_c 3.2156
_cell_angle_alpha 90.00
_cell_angle_beta 90.00
_cell_angle_gamma 90.00
loop_
_symmetry_equiv_pos_as_xyz
'x,y,z'
loop_
_atom_site_label
_atom_site_type_symbol
_atom_site_fract_x
_atom_site_fract_y
_atom_site_fract_z
_atom_site_occupancy
Re1 Re 0.0000 0.5000 0.0000 1
Re2 Re 0.5000 0.0000 0.0000 1
P1 P 0.0000 0.0000 0.5000 1
Pb1 Pb 0.5000 0.5000 0.5000 1
```

Calculated values
Crystal system: tetragonal
DOS(E_F), states/eV/atom: 0.851

=====

*four*
Compound: Re2PPb
Source: Alexandria
Functional: GGA-PBE
Structure: optimized geometry

```
data_Re2PPb
_chemical_formula_sum 'Re2 P1 Pb1'
_symmetry_space_group_name_H-M 'P 1'
_symmetry_Int_Tables_number 1
_cell_length_a 4.5053
_cell_length_b 4.5053
_cell_length_c 4.5053
_cell_angle_alpha 60.00
_cell_angle_beta 60.00
_cell_angle_gamma 60.00
loop_
_symmetry_equiv_pos_as_xyz
'x,y,z'
loop_
_atom_site_label
_atom_site_type_symbol
_atom_site_fract_x
_atom_site_fract_y
_atom_site_fract_z
_atom_site_occupancy
Re1 Re 0.2500 0.2500 0.2500 1
Re2 Re 0.7500 0.7500 0.7500 1
P1 P 0.0000 0.0000 0.0000 1
Pb1 Pb 0.5000 0.5000 0.5000 1
```

Calculated values
Crystal system: cubic
DOS(E_F), states/eV/atom: 0.760

=====

Which one is most stable, and which one is least stable? *one* is the most stable of them, while *three* is the least stable.